VAsIO2 (PBE+U, optimized geometry); energy above the most stable polymorph in this dataset = 38.66 kJ per mole of atoms
1.0
3.9736 0.0000 0.0000
0.0000 3.9736 0.0000
0.0000 0.0000 5.8854
O As V I
2 1 1 1
Direct
0.0000 0.5000 0.0000
0.5000 0.0000 0.0000
0.0000 0.0000 0.0000
0.5000 0.5000 0.5000
0.0000 0.0000 0.5000


VAs2IO (PBE+U, optimized geometry); VASP energy = -12.510 eV/cell
1.0
-4.3878 2.5497 1.7637
-3.0964 -3.4526 -2.7123
-0.1474 -3.0971 4.1106
As V I O
2 1 1 1
Direct
0.5000 0.0000 0.0000
0.0000 0.5000 0.0000
0.0000 0.0000 0.5000
0.0000 0.0000 0.0000
0.5000 0.5000 0.5000


VAsIO2 (PBE+U, optimized geometry); energy above the most stable polymorph in this dataset = 0.00 kJ per mole of atoms
1.0
3.8296 0.0000 0.0000
0.0000 3.8296 0.0000
0.0000 0.0000 7.6075
O V I As
2 1 1 1
Direct
0.0000 0.5000 0.0000
0.5000 0.0000 0.0000
0.0000 0.0000 0.0000
0.0000 0.0000 0.5000
0.5000 0.5000 0.5000


AsWI2O (PBE+U, optimized geometry); energy above the most stable polymorph in this dataset = 0.00 kJ per mole of atoms
1.0
-5.4693 -1.9332 0.9944
0.2386 -3.2096 -4.9275
1.4174 -2.9773 2.0079
I W As O
2 1 1 1
Direct
0.5000 0.0000 0.0000
0.0000 0.5000 0.0000
0.0000 0.0000 0.0000
0.5000 0.5000 0.5000
0.0000 0.0000 0.5000


AsWI2O (PBE+U, optimized geometry); energy above the most stable polymorph in this dataset = 37.02 kJ per mole of atoms
1.0
5.9485 0.0000 0.0000
0.0000 5.9485 0.0000
0.0000 0.0000 3.8534
I As O W
2 1 1 1
Direct
0.5000 0.0000 0.0000
0.0000 0.5000 0.0000
0.0000 0.0000 0.0000
0.0000 0.0000 0.5000
0.5000 0.5000 0.5000


- Number 2 is which compound?
  VAs2IO